# 1
# Sc2ReAuI meta-GGA SCAN single point on PBEsol structure
# Magnetization, μB per cell: 2.56
# Formation energy from raw total energies, eV/atom: 1.24
# V, A^3/atom: 27.3
# Mass density, g/cm³: 7.305
data_Sc2ReAuI
_cell_length_a 5.085
_cell_length_b 5.085
_cell_length_c 5.275
_cell_angle_alpha 90.00
_cell_angle_beta 90.00
_cell_angle_gamma 90.00
_symmetry_space_group_name_H-M 'P 4/m m m'
_symmetry_Int_Tables_number 123
_symmetry_space_group_name_Hall '-P 4 2'
loop_
_atom_site_label
_atom_site_fract_x
_atom_site_fract_y
_atom_site_fract_z
Sc1 0.000 0.500 0.000
Re1 0.000 0.000 0.500
Au1 0.500 0.500 0.000
I1 0.500 0.500 0.500


# 2
# BaSm2Mo4O16 meta-GGA SCAN single point on PBEsol structure
# Magnetization, μB per cell: 0.00
# Formation energy from raw total energies, eV/atom: -2.75
# V, A^3/atom: 13.9
# Mass density, g/cm³: 5.581
data_BaSm2Mo4O16
_cell_length_a 5.249
_cell_length_b 12.618
_cell_length_c 19.376
_cell_angle_alpha 90.00
_cell_angle_beta 91.74
_cell_angle_gamma 90.00
_symmetry_space_group_name_H-M 'C 1 2/c 1'
_symmetry_Int_Tables_number 15
loop_
_symmetry_equiv_pos_as_xyz
'x,y,z'
'-x,-y,-z'
'-x,y,-z+1/2'
'x,-y,z+1/2'
'x+1/2,y+1/2,z'
'-x+1/2,-y+1/2,-z'
'-x+1/2,y+1/2,-z+1/2'
'x+1/2,-y+1/2,z+1/2'
loop_
_atom_site_label
_atom_site_fract_x
_atom_site_fract_y
_atom_site_fract_z
Ba1 0.000 0.034 0.250
Sm1 0.002 0.147 0.467
Mo1 0.006 0.256 0.851
Mo2 0.012 0.440 0.092
O1 0.128 0.416 0.331
O2 0.135 0.135 0.827
O3 0.155 0.329 0.046
O4 0.163 0.240 0.568
O5 0.207 0.301 0.712
O6 0.227 0.453 0.605
O7 0.239 0.151 0.136
O8 0.248 0.017 0.536


# 3
# MnAlTl2 meta-GGA SCAN single point on PBEsol structure
# Magnetization, μB per cell: 18.04
# Energy above the lowest structure with this stoichiometry, meV per atom: 110.8
# E_form, meV per atom: 287
# V, A^3/atom: 21.3
# Mass density, g/cm³: 9.579
data_MnAlTl2
_cell_length_a 6.981
_cell_length_b 6.981
_cell_length_c 6.981
_cell_angle_alpha 90.00
_cell_angle_beta 90.00
_cell_angle_gamma 90.00
_symmetry_space_group_name_H-M 'F m -3 m'
_symmetry_Int_Tables_number 225
_symmetry_space_group_name_Hall '-F 4 2 3'
loop_
_atom_site_label
_atom_site_fract_x
_atom_site_fract_y
_atom_site_fract_z
Mn1 0.000 0.000 0.000
Al1 0.000 0.000 0.500
Tl1 0.250 0.250 0.250


# 4
# InOsSeN2 meta-GGA SCAN single point on PBEsol structure
# Magnetization, μB per cell: 0.00
# Formation energy from raw total energies, eV/atom: 0.51
# V, A^3/atom: 15.9
# Mass density, g/cm³: 8.606
data_InOsSeN2
_cell_length_a 3.838
_cell_length_b 3.838
_cell_length_c 5.397
_cell_angle_alpha 90.00
_cell_angle_beta 90.00
_cell_angle_gamma 90.00
_symmetry_space_group_name_H-M 'P 4/m m m'
_symmetry_Int_Tables_number 123
_symmetry_space_group_name_Hall '-P 4 2'
loop_
_atom_site_label
_atom_site_fract_x
_atom_site_fract_y
_atom_site_fract_z
In1 0.000 0.000 0.000
Os1 0.500 0.500 0.500
Se1 0.500 0.500 0.000
N1 0.000 0.500 0.500


# 5
# LaScBr2 meta-GGA SCAN single point on PBEsol structure
# Magnetization, μB per cell: 0.00
# Energy above the lowest structure with this stoichiometry, meV per atom: 206.5
# Formation energy from raw total energies, eV/atom: -1.09
# V, A^3/atom: 24.9
# Mass density, g/cm³: 5.724
data_LaScBr2
_cell_length_a 3.615
_cell_length_b 3.840
_cell_length_c 7.181
_cell_angle_alpha 90.00
_cell_angle_beta 90.00
_cell_angle_gamma 90.00
_symmetry_space_group_name_H-M 'P m m m'
_symmetry_Int_Tables_number 47
loop_
_symmetry_equiv_pos_as_xyz
'x,y,z'
'-x,-y,-z'
'-x,-y,z'
'x,y,-z'
'x,-y,-z'
'-x,y,z'
'-x,y,-z'
'x,-y,z'
loop_
_atom_site_label
_atom_site_fract_x
_atom_site_fract_y
_atom_site_fract_z
La1 0.000 0.000 0.000
Sc1 0.500 0.000 0.500
Br1 0.500 0.500 0.227


# 6
# TaP2W meta-GGA SCAN single point on PBEsol structure
# Magnetization, μB per cell: 0.00
# E_form, meV per atom: 254
# V, A^3/atom: 14.5
# Mass density, g/cm³: 12.214
data_TaP2W
_cell_length_a 3.811
_cell_length_b 3.811
_cell_length_c 7.988
_cell_angle_alpha 90.00
_cell_angle_beta 90.00
_cell_angle_gamma 90.00
_symmetry_space_group_name_H-M 'I -4 m 2'
_symmetry_Int_Tables_number 119
_symmetry_space_group_name_Hall 'I -4 -2'
loop_
_atom_site_label
_atom_site_fract_x
_atom_site_fract_y
_atom_site_fract_z
Ta1 0.000 0.000 0.000
P1 0.000 0.000 0.500
P2 0.000 0.500 0.750
W1 0.000 0.500 0.250


# 7
# BeCdAu2 meta-GGA SCAN single point on PBEsol structure
# Magnetization, μB per cell: 0.00
# E_form, meV per atom: -276
# V, A^3/atom: 15.3
# Mass density, g/cm³: 14.013
data_BeCdAu2
_cell_length_a 2.963
_cell_length_b 2.963
_cell_length_c 6.955
_cell_angle_alpha 90.00
_cell_angle_beta 90.00
_cell_angle_gamma 90.00
_symmetry_space_group_name_H-M 'P 4/m m m'
_symmetry_Int_Tables_number 123
_symmetry_space_group_name_Hall '-P 4 2'
loop_
_atom_site_label
_atom_site_fract_x
_atom_site_fract_y
_atom_site_fract_z
Be1 0.000 0.000 0.000
Cd1 0.000 0.000 0.500
Au1 0.500 0.500 0.201


# 8
# BaCaTc meta-GGA SCAN single point on PBEsol structure
# Magnetization, μB per cell: 7.70
# Energy above the lowest structure with this stoichiometry, meV per atom: 480.9
# E_form, meV per atom: 1411
# V, A^3/atom: 30.8
# Mass density, g/cm³: 4.949
data_BaCaTc
_cell_length_a 7.176
_cell_length_b 7.176
_cell_length_c 7.176
_cell_angle_alpha 90.00
_cell_angle_beta 90.00
_cell_angle_gamma 90.00
_symmetry_space_group_name_H-M 'F -4 3 m'
_symmetry_Int_Tables_number 216
_symmetry_space_group_name_Hall 'F -4 2 3'
loop_
_atom_site_label
_atom_site_fract_x
_atom_site_fract_y
_atom_site_fract_z
Ba1 0.000 0.000 0.000
Ca1 0.250 0.250 0.750
Tc1 0.000 0.000 0.500


# 9
# CuReSe2 meta-GGA SCAN single point on PBEsol structure
# Magnetization, μB per cell: 0.00
# Energy above the lowest structure with this stoichiometry, meV per atom: 260.4
# Formation energy from raw total energies, eV/atom: 0.48
# V, A^3/atom: 14.8
# Mass density, g/cm³: 11.401
data_CuReSe2
_cell_length_a 6.193
_cell_length_b 6.193
_cell_length_c 6.193
_cell_angle_alpha 90.00
_cell_angle_beta 90.00
_cell_angle_gamma 90.00
_symmetry_space_group_name_H-M 'F m -3 m'
_symmetry_Int_Tables_number 225
_symmetry_space_group_name_Hall '-F 4 2 3'
loop_
_atom_site_label
_atom_site_fract_x
_atom_site_fract_y
_atom_site_fract_z
Cu1 0.000 0.000 0.000
Re1 0.000 0.000 0.500
Se1 0.250 0.250 0.250


# 10
# NbAuS2Cl meta-GGA SCAN single point on PBEsol structure
# Magnetization, μB per cell: 2.57
# Formation energy from raw total energies, eV/atom: 0.59
# V, A^3/atom: 21.3
# Mass density, g/cm³: 6.078
data_NbAuS2Cl
_cell_length_a 4.792
_cell_length_b 4.792
_cell_length_c 4.634
_cell_angle_alpha 90.00
_cell_angle_beta 90.00
_cell_angle_gamma 90.00
_symmetry_space_group_name_H-M 'P 4/m m m'
_symmetry_Int_Tables_number 123
_symmetry_space_group_name_Hall '-P 4 2'
loop_
_atom_site_label
_atom_site_fract_x
_atom_site_fract_y
_atom_site_fract_z
Nb1 0.000 0.000 0.000
Au1 0.500 0.500 0.500
S1 0.000 0.500 0.500
Cl1 0.500 0.500 0.000


# 11
# SbBr5 meta-GGA SCAN single point on PBEsol structure
# Magnetization, μB per cell: 1.96
# Formation energy from raw total energies, eV/atom: 0.31
# V, A^3/atom: 24.7
# Mass density, g/cm³: 5.835
data_SbBr5
_cell_length_a 3.697
_cell_length_b 3.697
_cell_length_c 10.856
_cell_angle_alpha 90.00
_cell_angle_beta 90.00
_cell_angle_gamma 90.00
_symmetry_space_group_name_H-M 'P 4/m m m'
_symmetry_Int_Tables_number 123
_symmetry_space_group_name_Hall '-P 4 2'
loop_
_atom_site_label
_atom_site_fract_x
_atom_site_fract_y
_atom_site_fract_z
Sb1 0.000 0.000 0.000
Br1 0.000 0.000 0.331
Br2 0.500 0.500 0.149
Br3 0.500 0.500 0.500


# 12
# AlCu2Ni2 meta-GGA SCAN single point on PBEsol structure
# Magnetization, μB per cell: 0.00
# E_form, meV per atom: -270
# V, A^3/atom: 11.2
# Mass density, g/cm³: 8.029
data_AlCu2Ni2
_cell_length_a 8.692
_cell_length_b 4.272
_cell_length_c 6.489
_cell_angle_alpha 90.00
_cell_angle_beta 111.24
_cell_angle_gamma 90.00
_symmetry_space_group_name_H-M 'C 1 2/c 1'
_symmetry_Int_Tables_number 15
loop_
_symmetry_equiv_pos_as_xyz
'x,y,z'
'-x,-y,-z'
'-x,y,-z+1/2'
'x,-y,z+1/2'
'x+1/2,y+1/2,z'
'-x+1/2,-y+1/2,-z'
'-x+1/2,y+1/2,-z+1/2'
'x+1/2,-y+1/2,z+1/2'
loop_
_atom_site_label
_atom_site_fract_x
_atom_site_fract_y
_atom_site_fract_z
Al1 0.000 0.178 0.250
Cu1 0.200 0.176 0.653
Ni1 0.100 0.324 0.951